Y2TmHg2 | PBE | optimized geometry

Cell: 8.3993 8.3993 3.8676 Å, 90.00 90.00 90.00°
With the nearest neighbours (Å) after each atom.
Positions (direct):
Y 0.1673 0.3327 0.0000  6 Hg 3.06-3.19
Y 0.3327 0.8327 0.0000  6 Hg 3.06-3.19
Y 0.6673 0.1673 0.0000  6 Hg 3.06-3.19
Y 0.8327 0.6673 0.0000  6 Hg 3.06-3.19
Tm 0.0000 0.0000 0.5000  4 Hg 3.28
Tm 0.5000 0.5000 0.5000  4 Hg 3.28
Hg 0.1326 0.6326 0.5000  6 Y 3.06-3.19, 1 Hg 3.15, 2 Tm 3.28
Hg 0.3674 0.1326 0.5000  6 Y 3.06-3.19, 1 Hg 3.15, 2 Tm 3.28
Hg 0.6326 0.8674 0.5000  6 Y 3.06-3.19, 1 Hg 3.15, 2 Tm 3.28
Hg 0.8674 0.3674 0.5000  6 Y 3.06-3.19, 1 Hg 3.15, 2 Tm 3.28

Energy above the most stable polymorph in this dataset: 0.00 eV/f.u.
Space-group type: P4/mbm, No. 127
Energy of formation: -0.406 eV per atom